Entry 1:
A plane-wave DFT calculation with PBE was carried out for crystalline Au2SN at its relaxed geometry.

Properties
As for the polymorph energy (0 for the lowest one): 0.0460 eV per atom. As for the uncorrected formation energy: 0.57 eV/atom. Its density of states at the Fermi level is 2.591 states/eV/cell.

abc: 9.694 3.461 5.489
angles: 90.00 107.80 90.00
Space group Cm (No. 8)
One atom of each set of equivalent atoms:
1 Au 0.000 0.000 0.000 x2
2 Au 0.132 0.500 0.367 x2
3 S 0.402 0.000 0.686 x2
4 N 0.229 0.000 0.601 x2

***

Entry 2:
A plane-wave DFT calculation with PBE was carried out for crystalline AuS2N at its relaxed geometry.

Properties
As for the uncorrected formation energy: 0.47 eV/atom. Its density of states at the Fermi level is 0.180 states/eV/cell.

abc: 4.185 4.728 4.732
angles: 83.99 87.81 79.03
Space group P1 (No. 1)
One atom of each set of equivalent atoms:
1 Au 0.000 0.000 0.000 x1
2 S 0.148 0.463 0.872 x1
3 S 0.855 0.898 0.489 x1
4 N 0.003 0.550 0.550 x1

***

Entry 3:
A plane-wave DFT calculation with PBE was carried out for crystalline Au2SN at its relaxed geometry.

Properties
As for the polymorph energy (0 for the lowest one): 0.0257 eV per atom. As for the uncorrected formation energy: 0.55 eV/atom. Its density of states at the Fermi level is 0.938 states/eV/cell.

abc: 3.448 3.555 6.379
angles: 86.36 74.35 89.18
Space group P1 (No. 1)
One atom of each set of equivalent atoms:
1 Au 0.000 0.000 0.000 x1
2 Au 0.340 0.142 0.318 x1
3 S 0.704 0.273 0.584 x1
4 N 0.611 0.960 0.779 x1

***

Entry 4:
A plane-wave DFT calculation with PBE was carried out for crystalline AuS2N at its relaxed geometry.

Properties
As for the uncorrected formation energy: 0.44 eV/atom.

abc: 9.573 3.354 6.719
angles: 90.00 114.46 90.00
Space group Cm (No. 8)
One atom of each set of equivalent atoms:
1 Au 0.000 0.000 0.000 x2
2 S 0.183 0.500 0.517 x2
3 S 0.233 0.000 0.288 x2
4 N 0.293 0.500 0.749 x2

***

Entry 5:
A plane-wave DFT calculation with PBE was carried out for crystalline AuSN2 at its relaxed geometry.

Properties
As for the uncorrected formation energy: 1.48 eV/atom. Its density of states at the Fermi level is 3.918 states/eV/cell.

abc: 4.836 4.836 8.860
angles: 90.00 90.00 90.00
Space group I-42d (No. 122)
One atom of each set of equivalent atoms:
1 Au 0.000 0.000 0.000 x4
2 S 0.000 0.000 0.500 x4
3 N 0.150 0.250 0.625 x8

***

Entry 6:
A plane-wave DFT calculation with PBE was carried out for crystalline AuS2N at its relaxed geometry.

Properties
As for the uncorrected formation energy: 0.44 eV/atom. Its density of states at the Fermi level is 0.705 states/eV/cell.

abc: 6.192 5.676 6.207
angles: 90.00 117.90 90.00
Space group Cm (No. 8)
One atom of each set of equivalent atoms:
1 Au 0.000 0.000 0.000 x2
2 S 0.120 0.000 0.690 x2
3 S 0.246 0.500 0.181 x2
4 N 0.342 0.500 0.468 x2

***

Entry 7:
A plane-wave DFT calculation with PBE was carried out for crystalline Au2SN at its relaxed geometry.

Properties
As for the polymorph energy (0 for the lowest one): 0.0642 eV per atom. As for the uncorrected formation energy: 0.59 eV/atom. Its density of states at the Fermi level is 3.126 states/eV/cell.

abc: 15.004 2.920 3.365
angles: 90.00 98.92 90.00
Space group Cm (No. 8)
One atom of each set of equivalent atoms:
1 Au 0.000 0.000 0.000 x2
2 Au 0.125 0.500 0.613 x2
3 S 0.289 0.500 0.553 x2
4 N 0.356 0.500 0.940 x2

***

Entry 8:
A plane-wave DFT calculation with PBE was carried out for crystalline AuSN2 at its relaxed geometry.

Properties
As for the uncorrected formation energy: 1.20 eV/atom. Its density of states at the Fermi level is 5.798 states/eV/cell.

abc: 2.9643 2.9643 18.3995
angles: 90.00 90.00 120.00
Space group R-3m (No. 166, hexagonal axes)
One atom of each set of equivalent atoms:
1 Au 0.0000 0.0000 0.0000 x3
2 S 0.0000 0.0000 0.5000 x3
3 N 0.0000 0.0000 0.1128 x6

***

- What is the uncorrected formation energy in the sixth record?
  0.44 eV/atom

***

- uncorrected formation energy of number 4 (AuS2N)?
  0.44 eV/atom

***

- Which value of uncorrected formation energy does entry 8 give?
  1.20 eV/atom